[1]
{
  "formula": "In2Hg3Pb2",
  "functional": "PBE",
  "state": "relaxed",
  "crystal_system": "monoclinic",
  "ef_kj_per_mol_fu": 17,
  "sg": "No. 12",
  "lattice_angstrom": [[8.304, -1.638, 0.000], [8.304, 1.638, 0.000], [-4.035, 0.000, 7.253]],
  "species": ["In", "In", "Hg", "Hg", "Hg", "Pb", "Pb"],
  "fractional_positions": [[0.072, 0.072, 0.229], [0.928, 0.928, 0.771], [0.286, 0.286, 0.368], [0.500, 0.500, 0.500], [0.714, 0.714, 0.632], [0.358, 0.358, 0.060], [0.642, 0.642, 0.940]]
}



[2]
{
  "formula": "In5Hg3Pb3",
  "functional": "PBE",
  "state": "relaxed",
  "crystal_system": "hexagonal",
  "ef_kj_per_mol_fu": 92,
  "sg": "No. 189",
  "lattice_angstrom": [[10.942, 0.000, 0.000], [-5.471, 9.476, 0.000], [0.000, 0.000, 3.233]],
  "species": ["In", "In", "In", "In", "In", "Hg", "Hg", "Hg", "Pb", "Pb", "Pb"],
  "fractional_positions": [[0.000, 0.308, 0.000], [0.308, 0.000, 0.000], [0.333, 0.667, 0.000], [0.667, 0.333, 0.000], [0.692, 0.692, 0.000], [0.000, 0.827, 0.000], [0.173, 0.173, 0.000], [0.827, 0.000, 0.000], [0.000, 0.562, 0.500], [0.438, 0.438, 0.500], [0.562, 0.000, 0.500]]
}



[3]
{
  "formula": "InHg2Pb",
  "functional": "PBE",
  "state": "relaxed",
  "crystal_system": "tetragonal",
  "ef_kj_per_mol_fu": 5,
  "sg": "No. 129",
  "lattice_angstrom": [[3.506, 0.000, 0.000], [0.000, 3.506, 0.000], [0.000, 0.000, 17.903]],
  "species": ["In", "In", "Hg", "Hg", "Hg", "Hg", "Pb", "Pb"],
  "fractional_positions": [[0.250, 0.250, 0.184], [0.750, 0.750, 0.816], [0.250, 0.250, 0.700], [0.250, 0.250, 0.939], [0.750, 0.750, 0.061], [0.750, 0.750, 0.300], [0.250, 0.250, 0.427], [0.750, 0.750, 0.573]]
}



[4]
{
  "formula": "In7Hg2Pb",
  "functional": "PBE",
  "state": "relaxed",
  "crystal_system": "orthorhombic",
  "ef_kj_per_mol_fu": 66,
  "sg": "No. 65",
  "lattice_angstrom": [[4.422, -10.179, 0.000], [4.422, 10.179, 0.000], [0.000, 0.000, 3.342]],
  "species": ["In", "In", "In", "In", "In", "In", "In", "Hg", "Hg", "Pb"],
  "fractional_positions": [[0.000, 0.000, 0.000], [0.165, 0.835, 0.500], [0.176, 0.373, 0.000], [0.373, 0.176, 0.000], [0.627, 0.824, 0.000], [0.824, 0.627, 0.000], [0.835, 0.165, 0.500], [0.293, 0.707, 0.000], [0.707, 0.293, 0.000], [0.500, 0.500, 0.500]]
}



[5]
{
  "formula": "InHg2Pb5",
  "functional": "PBE",
  "state": "relaxed",
  "crystal_system": "tetragonal",
  "ef_kj_per_mol_fu": 23,
  "sg": "No. 139",
  "lattice_angstrom": [[-3.977, 3.977, 3.727], [3.977, -3.977, 3.727], [3.977, 3.977, -3.727]],
  "species": ["In", "Hg", "Hg", "Pb", "Pb", "Pb", "Pb", "Pb"],
  "fractional_positions": [[0.000, 0.000, 0.000], [0.000, 0.500, 0.500], [0.500, 0.000, 0.500], [0.000, 0.000, 0.500], [0.000, 0.500, 0.000], [0.500, 0.000, 0.000], [0.500, 0.500, 0.000], [0.500, 0.500, 0.500]]
}



[6]
{
  "formula": "InHg12Pb16",
  "functional": "PBE",
  "state": "relaxed",
  "crystal_system": "monoclinic",
  "ef_kj_per_mol_fu": 97,
  "sg": "No. 8",
  "lattice_angstrom": [[5.941, -8.365, 0.000], [5.941, 8.365, 0.000], [-5.918, 0.000, 8.369]],
  "species": ["In", "Hg", "Hg", "Hg", "Hg", "Hg", "Hg", "Hg", "Hg", "Hg", "Hg", "Hg", "Hg", "Pb", "Pb", "Pb", "Pb", "Pb", "Pb", "Pb", "Pb", "Pb", "Pb", "Pb", "Pb", "Pb", "Pb", "Pb", "Pb"],
  "fractional_positions": [[0.000, 0.000, 0.000], [0.224, 0.408, 0.293], [0.230, 0.599, 0.105], [0.408, 0.224, 0.293], [0.411, 0.786, 0.482], [0.412, 0.598, 0.919], [0.598, 0.412, 0.919], [0.599, 0.230, 0.105], [0.781, 0.969, 0.669], [0.786, 0.411, 0.482], [0.792, 0.792, 0.096], [0.962, 0.962, 0.468], [0.969, 0.781, 0.669], [0.002, 0.305, 0.694], [0.191, 0.596, 0.603], [0.192, 0.907, 0.288], [0.258, 0.258, 0.959], [0.283, 0.283, 0.574], [0.291, 0.887, 0.985], [0.305, 0.002, 0.694], [0.596, 0.191, 0.603], [0.596, 0.596, 0.627], [0.596, 0.912, 0.888], [0.597, 0.597, 0.290], [0.602, 0.934, 0.294], [0.887, 0.291, 0.985], [0.907, 0.192, 0.288], [0.912, 0.596, 0.888], [0.934, 0.602, 0.294]]
}